[1]
Density functional theory data (GGA-PBE) for a relaxed SrZn2TeIr crystal.

The value obtained for the energy relative to the elements, uncorrected is -1.72 eV/f.u.

It has space group P4/mmm (No. 123), with a = 4.828 Å, b = 4.828 Å, c = 5.567 Å, α = 90.00°, β = 90.00° and γ = 90.00°. The inequivalent atoms are Sr at (0.000, 0.000, 0.000), Zn at (0.000, 0.500, 0.500), Te at (0.500, 0.500, 0.000) and Ir at (0.500, 0.500, 0.500).


[2]
Density functional theory data (GGA-PBE) for a relaxed SrThIr2 crystal.

It has space group P4/mmm (No. 123), with a = 3.655 Å, b = 3.655 Å, c = 7.106 Å, α = 90.00°, β = 90.00° and γ = 90.00°. The inequivalent atoms are Sr at (0.000, 0.000, 0.000), Th at (0.000, 0.000, 0.500) and Ir at (0.500, 0.500, 0.292).


For the records above, the corresponding raw total energy values read -17.95; -28.95 eV per cell.
For the records above, the corresponding volume values read 25.951; 23.728 Å³/atom.